# 1
# PBE La12PmY5, relaxed
data_La12PmY5
_chemical_formula_sum 'La24 Pm2 Y10'
_cell_length_a 11.577
_cell_length_b 18.297
_cell_length_c 6.078
_cell_angle_alpha 90.00
_cell_angle_beta 90.01
_cell_angle_gamma 90.00
_space_group_name_H-M_alt 'C 1 2/m 1'
_space_group_IT_number 12
loop_
_space_group_symop_operation_xyz
'x,y,z'
'-x,-y,-z'
'-x,y,-z'
'x,-y,z'
'x+1/2,y+1/2,z'
'-x+1/2,-y+1/2,-z'
'-x+1/2,y+1/2,-z'
'x+1/2,-y+1/2,z'
loop_
_atom_site_label
_atom_site_type_symbol
_atom_site_fract_x
_atom_site_fract_y
_atom_site_fract_z
La1 La 0.156 0.000 0.499
La2 La 0.157 0.170 0.001
La3 La 0.159 0.333 0.500
La4 La 0.162 0.500 0.001
Pm1 Pm 0.000 0.000 0.000
Y1 Y 0.000 0.167 0.500
Y2 Y 0.000 0.336 0.000
Y3 Y 0.000 0.500 0.500
# - Density: 5.8 g/cm³
# - Volume: 35.76 Å³/atom



# 2
# PBE La6Pm12Y, relaxed
data_La6Pm12Y
_chemical_formula_sum 'La18 Pm36 Y3'
_cell_length_a 15.7688
_cell_length_b 15.7688
_cell_length_c 9.7070
_cell_angle_alpha 90.00
_cell_angle_beta 90.00
_cell_angle_gamma 120.00
_space_group_name_H-M_alt 'R -3 m'
_space_group_IT_number 166
_space_group_name_Hall '-R 3 2"'
loop_
_atom_site_label
_atom_site_type_symbol
_atom_site_fract_x
_atom_site_fract_y
_atom_site_fract_z
La1 La 0.0287 0.5144 0.1892
Pm1 Pm 0.0000 0.3928 0.5000
Pm2 Pm 0.0677 0.1355 0.3188
Y1 Y 0.0000 0.0000 0.0000
# - Excess energy over the best structure of this formula in the dataset: 259 meV/atom
# - Density: 6.3 g/cm³
# - Volume: 36.67 Å³/atom



# 3
# PBE La8Pm6Y, relaxed
data_La8Pm6Y
_chemical_formula_sum 'La24 Pm18 Y3'
_cell_length_a 9.3394
_cell_length_b 9.3394
_cell_length_c 21.3095
_cell_angle_alpha 90.00
_cell_angle_beta 90.00
_cell_angle_gamma 120.00
_space_group_name_H-M_alt 'R -3'
_space_group_IT_number 148
_space_group_name_Hall '-R 3'
loop_
_atom_site_label
_atom_site_type_symbol
_atom_site_fract_x
_atom_site_fract_y
_atom_site_fract_z
La1 La 0.0000 0.0000 0.0778
La2 La 0.0783 0.5600 0.3077
Pm1 Pm 0.0465 0.2461 0.2055
Y1 Y 0.0000 0.0000 0.5000
# - Density: 6.4 g/cm³
# - Volume: 35.77 Å³/atom



# 4
# PBE La2PmY4, relaxed
data_La2PmY4
_chemical_formula_sum 'La4 Pm2 Y8'
_cell_length_a 7.870
_cell_length_b 7.870
_cell_length_c 8.232
_cell_angle_alpha 90.00
_cell_angle_beta 90.00
_cell_angle_gamma 90.00
_space_group_name_H-M_alt 'P 4/m m m'
_space_group_IT_number 123
_space_group_name_Hall '-P 4 2'
loop_
_atom_site_label
_atom_site_type_symbol
_atom_site_fract_x
_atom_site_fract_y
_atom_site_fract_z
La1 La 0.000 0.000 0.000
La2 La 0.000 0.000 0.500
La3 La 0.000 0.500 0.000
Pm1 Pm 0.500 0.500 0.000
Pm2 Pm 0.500 0.500 0.500
Y1 Y 0.252 0.252 0.279
# - Excess energy over the best structure of this formula in the dataset: 46 meV/atom
# - Density: 5.1 g/cm³
# - Volume: 36.42 Å³/atom



Number 1: calculated formation energy 0.095 eV per atom. Number 2: calculated formation energy 0.381 eV per atom. Number 3: calculated formation energy 0.105 eV per atom. Number 4: calculated formation energy 0.313 eV per atom.